The following is a DFT calculation (PBE) of Sr2In3GaPd4 after structural relaxation.

Geometry as CIF:
```
data_Sr2In3GaPd4
_chemical_formula_sum 'Sr2 In3 Ga1 Pd4'
_cell_length_a 4.7218
_cell_length_b 4.7218
_cell_length_c 10.4633
_cell_angle_alpha 90.00
_cell_angle_beta 90.00
_cell_angle_gamma 90.00
_space_group_name_H-M_alt 'P 1'
_space_group_IT_number 1
loop_
_space_group_symop_operation_xyz
'x,y,z'
loop_
_atom_site_label
_atom_site_fract_x
_atom_site_fract_y
_atom_site_fract_z
In1 0.0000 0.0000 0.5000
Sr1 0.0000 0.5000 0.7567
In2 0.5000 0.0000 0.8738
In3 0.0000 0.5000 0.1262
Pd1 0.5000 0.5000 0.0000
Sr2 0.5000 0.0000 0.2433
Ga1 0.5000 0.5000 0.5000
Pd2 0.0000 0.5000 0.3817
Pd3 0.5000 0.0000 0.6183
Pd4 0.0000 0.0000 0.0000
```

Computed properties:
SG = P-4m2
Spin magnetization = 0.00 μB per formula unit
ΔE_f = -0.613 eV per atom